Entry 1:
Here is crystalline TeSCl3 at its relaxed geometry from the Alexandria database. Energies are from PBE-GGA.

Lattice parameters (Å, degrees): 7.0737 7.6712 9.3037 72.38 74.95 106.81
With the nearest neighbours (Å) after each atom.
Positions (direct):
Te 0.9258 0.7150 0.1096  1 S 2.33, 3 Cl 2.38-2.57
Te 0.7958 0.0855 0.3685  1 S 2.33, 3 Cl 2.38-2.57
Cl 0.9779 0.2625 0.4960  1 Te 2.38
Cl 0.5675 0.2806 0.3485  1 Te 2.50
Cl 0.1352 0.5144 0.0255  1 Te 2.57
Cl 0.2351 0.0193 0.9828  1 Te 2.38
Cl 0.6779 0.8906 0.1285  1 Te 2.50
Cl 0.9205 0.8002 0.4533  1 Te 2.57
S 0.5074 0.8246 0.5929  1 Te 2.33
S 0.8625 0.6791 0.8846  1 Te 2.33

Computed properties:
- Space-group type: P1
- Raw total energy: -2.763 eV/atom
- Uncorrected formation energy: -0.201 eV/atom
- Offset from the most stable computed form: 1.02 eV per formula unit


Entry 2:
Here is crystalline HoAlAu4 at its relaxed geometry from the Alexandria database. Energies are from PBE-GGA.

Lattice parameters (Å, degrees): 5.1626 5.1631 9.9203 109.94 109.92 87.25
With the nearest neighbours (Å) after each atom.
Positions (direct):
Au 0.8626 0.3628 0.1801  1 Al 2.84, 5 Au 2.96-3.15, 4 Ho 3.02-3.03
Au 0.4656 0.4659 0.3485  2 Al 2.63, 1 Au 2.80
Au 0.6374 0.1372 0.8199  1 Al 2.84, 5 Au 2.96-3.15, 4 Ho 3.02-3.03
Au 0.5344 0.5341 0.6515  2 Al 2.63, 1 Au 2.80
Au 0.3626 0.8628 0.1801  1 Al 2.84, 5 Au 2.96-3.15, 4 Ho 3.02-3.03
Au 0.9656 0.9659 0.3485  2 Al 2.63, 1 Au 2.80
Au 0.1374 0.6372 0.8199  1 Al 2.84, 5 Au 2.96-3.15, 4 Ho 3.02-3.03
Au 0.0344 0.0341 0.6515  2 Al 2.63, 1 Au 2.80
Al 0.0000 0.5000 0.5000  6 Au 2.63-2.84
Al 0.5000 0.0000 0.5000  6 Au 2.63-2.84
Ho 0.7500 0.7500 0.0000  10 Au 3.02-3.05
Ho 0.2500 0.2500 0.0000  10 Au 3.02-3.05

Computed properties:
- Space-group type: P2/m
- Raw total energy: -4.102 eV/atom
- Offset from the most stable computed form: 0.00 eV per formula unit
- DOS(E_F): 3.4 states/eV per cell
- Energy relative to the elements: -531 meV/atom


Entry 3:
Here is crystalline LiNbCd at its relaxed geometry from the Alexandria database. Energies are from PBE-GGA.

Lattice parameters (Å, degrees): 7.6646 7.6646 4.4103 90.00 90.00 155.77
With the nearest neighbours (Å) after each atom.
Positions (direct):
Cd 0.5782 0.4218 0.2500  6 Li 2.73-2.88, 2 Nb 3.02
Cd 0.4218 0.5782 0.7500  6 Li 2.73-2.88, 2 Nb 3.02
Nb 0.7512 0.2488 0.7500  4 Nb 2.73, 2 Li 3.02, 2 Cd 3.02
Nb 0.2488 0.7512 0.2500  4 Nb 2.73, 2 Li 3.02, 2 Cd 3.02
Li 0.0811 0.9189 0.7500  6 Cd 2.73-2.88, 2 Nb 3.02
Li 0.9189 0.0811 0.2500  6 Cd 2.73-2.88, 2 Nb 3.02

Computed properties:
- Space-group type: Cmcm
- Raw total energy: -4.265 eV/atom
- Offset from the most stable computed form: 0.00 eV per formula unit
- DOS(E_F): 3.3 states/eV per cell
- Energy relative to the elements: 35 meV/atom


Entry 4:
Here is crystalline CaTb6Er8 at its relaxed geometry from the Alexandria database. Energies are from PBE-GGA.

Lattice parameters (Å, degrees): 8.1201 8.1201 8.1201 72.35 72.35 72.35
With the nearest neighbours (Å) after each atom.
Positions (direct):
Ca 0.0000 0.0000 0.0000  6 Er 3.02
Tb 0.8250 0.5622 0.3830  7 Er 3.37-3.71, 3 Tb 3.62-3.69
Tb 0.1750 0.4378 0.6170  7 Er 3.37-3.71, 3 Tb 3.62-3.69
Tb 0.5622 0.3830 0.8250  7 Er 3.37-3.71, 3 Tb 3.62-3.69
Tb 0.4378 0.6170 0.1750  7 Er 3.37-3.71, 3 Tb 3.62-3.69
Tb 0.6170 0.1750 0.4378  7 Er 3.37-3.71, 3 Tb 3.62-3.69
Tb 0.3830 0.8250 0.5622  7 Er 3.37-3.71, 3 Tb 3.62-3.69
Er 0.2398 0.2398 0.2398  6 Er 3.35-3.54, 6 Tb 3.70-3.71
Er 0.1334 0.6249 0.9500  1 Ca 3.02, 2 Er 3.17-3.35, 1 Tb 3.37
Er 0.7602 0.7602 0.7602  6 Er 3.35-3.54, 6 Tb 3.70-3.71
Er 0.3751 0.0500 0.8666  1 Ca 3.02, 2 Er 3.17-3.35, 1 Tb 3.37
Er 0.6249 0.9500 0.1334  1 Ca 3.02, 2 Er 3.17-3.35, 1 Tb 3.37
Er 0.0500 0.8666 0.3751  1 Ca 3.02, 2 Er 3.17-3.35, 1 Tb 3.37
Er 0.9500 0.1334 0.6249  1 Ca 3.02, 2 Er 3.17-3.35, 1 Tb 3.37
Er 0.8666 0.3751 0.0500  1 Ca 3.02, 2 Er 3.17-3.35, 1 Tb 3.37

Computed properties:
- Space-group type: R-3
- Raw total energy: -4.213 eV/atom
- DOS(E_F): 20.5 states/eV per cell
- Energy relative to the elements: 206 meV/atom


Entry 5:
Here is crystalline InFePb2 at its relaxed geometry from the Alexandria database. Energies are from PBE-GGA.

Lattice parameters (Å, degrees): 5.6774 5.6774 5.6774 131.56 131.56 70.93
With the nearest neighbours (Å) after each atom.
Positions (direct):
In 0.7500 0.2500 0.5000  8 Pb 3.28, 4 Fe 3.29
Fe 0.2500 0.7500 0.5000  8 Pb 3.28, 4 In 3.29
Pb 0.0000 0.0000 0.0000  4 In 3.28, 4 Fe 3.28, 4 Pb 3.29
Pb 0.5000 0.5000 0.0000  4 Fe 3.28, 4 In 3.28, 4 Pb 3.29

Computed properties:
- Space-group type: I4/mmm
- Raw total energy: -4.153 eV/atom
- Offset from the most stable computed form: 0.91 eV per formula unit
- DOS(E_F): 4.0 states/eV per cell
- Energy relative to the elements: 502 meV/atom


Entry 6:
Here is crystalline CoSn3Os at its relaxed geometry from the Alexandria database. Energies are from PBE-GGA.

Lattice parameters (Å, degrees): 5.1146 5.1146 5.1146 90.00 90.00 90.00
With the nearest neighbours (Å) after each atom.
Positions (direct):
Os 0.0000 0.0000 0.0000  6 Sn 2.56
Sn 0.0000 0.0000 0.5000  2 Os 2.56
Sn 0.0000 0.5000 0.0000  2 Os 2.56
Sn 0.5000 0.0000 0.0000  2 Os 2.56
Co 0.5000 0.5000 0.5000  12 Sn 3.62

Computed properties:
- Space-group type: Pm-3m
- Raw total energy: -5.193 eV/atom
- Offset from the most stable computed form: 0.00 eV per formula unit
- DOS(E_F): 9.1 states/eV per cell
- Energy relative to the elements: 875 meV/atom


Entry 7:
Here is crystalline Cd2Cu2Pd at its relaxed geometry from the Alexandria database. Energies are from PBE-GGA.

Lattice parameters (Å, degrees): 7.4774 7.4774 2.9995 90.00 90.00 90.00
With the nearest neighbours (Å) after each atom.
Positions (direct):
Cu 0.8509 0.3509 0.5000  6 Cd 2.60-2.69
Cu 0.3509 0.1491 0.5000  6 Cd 2.60-2.69
Cu 0.6491 0.8509 0.5000  6 Cd 2.60-2.69
Cu 0.1491 0.6491 0.5000  6 Cd 2.60-2.69
Cd 0.3505 0.8505 0.0000  6 Cu 2.60-2.69, 2 Pd 2.85
Cd 0.6495 0.1495 0.0000  6 Cu 2.60-2.69, 2 Pd 2.85
Cd 0.8505 0.6495 0.0000  6 Cu 2.60-2.69, 2 Pd 2.85
Cd 0.1495 0.3505 0.0000  6 Cu 2.60-2.69, 2 Pd 2.85
Pd 0.5000 0.5000 0.0000  4 Cd 2.85, 2 Pd 3.00
Pd 0.0000 0.0000 0.0000  4 Cd 2.85, 2 Pd 3.00

Computed properties:
- Space-group type: P4/mbm
- Raw total energy: -2.948 eV/atom
- Offset from the most stable computed form: 0.56 eV per formula unit
- DOS(E_F): 4.4 states/eV per cell
- Energy relative to the elements: 95 meV/atom


Entry 8:
Here is crystalline AsPd2Br at its relaxed geometry from the Alexandria database. Energies are from PBE-GGA.

Lattice parameters (Å, degrees): 6.5102 6.5102 6.2737 58.74 58.74 90.00
With the nearest neighbours (Å) after each atom.
Positions (direct):
Pd 0.5862 0.1250 0.2500  2 As 2.38
Pd 0.3750 0.4138 0.7500  2 As 2.38
Pd 0.1638 0.6250 0.2500  2 As 2.38
Pd 0.8750 0.8362 0.7500  2 As 2.38
As 0.5000 0.5000 0.0000  4 Pd 2.38
As 0.2500 0.7500 0.5000  4 Pd 2.38
Br 0.7500 0.2500 0.5000  4 Pd 2.71
Br 0.0000 0.0000 0.0000  4 Pd 2.71

Computed properties:
- Space-group type: I-42d
- Raw total energy: -4.256 eV/atom
- Uncorrected formation energy: -0.079 eV/atom
- Offset from the most stable computed form: 0.00 eV per formula unit
- DOS(E_F): 1.3 states/eV per cell


Entry 9:
Here is crystalline Y2SbW at its relaxed geometry from the Alexandria database. Energies are from PBE-GGA.

Lattice parameters (Å, degrees): 9.9235 9.9235 9.9235 19.96 19.96 19.96
With the nearest neighbours (Å) after each atom.
Positions (direct):
Y 0.0064 0.0064 0.0064  3 W 3.00, 3 Sb 3.29
Y 0.4936 0.4936 0.4936  3 W 3.00, 3 Sb 3.29
W 0.7500 0.7500 0.7500  6 Y 3.00
Sb 0.2500 0.2500 0.2500  6 Y 3.29, 6 Sb 3.44

Computed properties:
- Space-group type: R-3m
- Raw total energy: -7.277 eV/atom
- Uncorrected formation energy: 0.224 eV/atom
- DOS(E_F): 5.9 states/eV per cell


Entry 10:
Here is crystalline Tl3In3Bi2Pb at its relaxed geometry from the Alexandria database. Energies are from PBE-GGA.

Lattice parameters (Å, degrees): 3.4886 9.5888 9.5888 120.00 90.00 90.00
With the nearest neighbours (Å) after each atom.
Positions (direct):
In 0.0000 0.0000 0.3649  2 In 3.49, 1 Pb 3.50, 4 Bi 3.52, 6 Tl 3.60-3.69
In 0.0000 0.3649 0.0000  2 In 3.49, 1 Pb 3.50, 4 Bi 3.52, 6 Tl 3.60-3.69
In 0.0000 0.6351 0.6351  2 In 3.49, 1 Pb 3.50, 4 Bi 3.52, 6 Tl 3.60-3.69
Tl 0.5000 0.6934 0.0000  2 Bi 3.33, 2 Pb 3.42, 2 Tl 3.49, 6 In 3.60-3.69
Tl 0.5000 0.0000 0.6934  2 Bi 3.33, 2 Pb 3.42, 2 Tl 3.49, 6 In 3.60-3.69
Tl 0.5000 0.3066 0.3066  2 Bi 3.33, 2 Pb 3.42, 2 Tl 3.49, 6 In 3.60-3.69
Bi 0.5000 0.3333 0.6667  3 Tl 3.33, 2 Bi 3.49, 6 In 3.52
Bi 0.5000 0.6667 0.3333  3 Tl 3.33, 2 Bi 3.49, 6 In 3.52
Pb 0.0000 0.0000 0.0000  6 Tl 3.42, 2 Pb 3.49, 3 In 3.50

Computed properties:
- Space-group type: P-62m
- Raw total energy: -2.948 eV/atom
- DOS(E_F): 5.8 states/eV per cell
- Energy relative to the elements: 28 meV/atom


Entry 11:
Here is crystalline KLiCa at its relaxed geometry from the Alexandria database. Energies are from PBE-GGA.

Lattice parameters (Å, degrees): 4.2204 4.2204 15.9180 105.57 105.57 89.91
With the nearest neighbours (Å) after each atom.
Positions (direct):
K 0.3788 0.3788 0.6293  4 Li 3.93-3.96, 4 K 4.22, 1 Ca 4.27
K 0.6212 0.6212 0.3707  4 Li 3.93-3.96, 4 K 4.22, 1 Ca 4.27
Li 0.9469 0.9469 0.1955  4 Ca 3.43
Li 0.0531 0.0531 0.8045  4 Ca 3.43
Ca 0.3319 0.3319 0.0811  4 Li 3.43, 4 Ca 3.82-3.83
Ca 0.6681 0.6681 0.9189  4 Li 3.43, 4 Ca 3.82-3.83

Computed properties:
- Space-group type: C2/m
- Raw total energy: -1.601 eV/atom
- Offset from the most stable computed form: 0.00 eV per formula unit
- DOS(E_F): 3.8 states/eV per cell
- Energy relative to the elements: 70 meV/atom


Entry 12:
Here is crystalline LiNd2Be at its relaxed geometry from the Alexandria database. Energies are from PBE-GGA.

Lattice parameters (Å, degrees): 3.6204 3.6204 7.6103 90.00 90.00 90.00
With the nearest neighbours (Å) after each atom.
Positions (direct):
Nd 0.0000 0.0000 0.2125  4 Be 3.03, 1 Nd 3.23, 4 Li 3.37
Nd 0.0000 0.0000 0.7875  4 Be 3.03, 1 Nd 3.23, 4 Li 3.37
Be 0.5000 0.5000 0.0000  8 Nd 3.03
Li 0.5000 0.5000 0.5000  8 Nd 3.37, 4 Li 3.62

Computed properties:
- Space-group type: P4/mmm
- Raw total energy: -3.671 eV/atom
- Offset from the most stable computed form: 0.00 eV per formula unit
- DOS(E_F): 3.7 states/eV per cell
- Energy relative to the elements: 123 meV/atom